# 1
A plane-wave DFT calculation with PBE was carried out for a relaxed structure of KY2Sc.

Summary:
Relative energy among the computed polymorphs, meV per atom: 314
Energy of formation, kJ/mol of atoms: 53.0

abc: 3.669 6.050 6.095
angles: 90.00 90.00 90.00
Space group Pmmm (No. 47)
Unique sites:
K 0.000 0.000 0.000 (multiplicity 1)
Y 0.000 0.500 0.500 (multiplicity 1)
Y 0.500 0.500 0.000 (multiplicity 1)
Sc 0.500 0.000 0.500 (multiplicity 1)

=====

# 2
A plane-wave DFT calculation with PBE was carried out for a relaxed structure of SbSO2.

Summary:
Relative energy among the computed polymorphs, meV per atom: 128
E_form (uncorrected), eV per atom: -0.1316

abc: 6.284 6.284 9.024
angles: 90.00 90.00 90.00
Space group I-42d (No. 122)
Unique sites:
Sb 0.000 0.000 0.000 (multiplicity 4)
S 0.000 0.000 0.500 (multiplicity 4)
O 0.053 0.250 0.125 (multiplicity 8)

=====

# 3
A plane-wave DFT calculation with PBE was carried out for a relaxed structure of Pr3Dy4Mg4.

Summary:
Energy of formation, kJ/mol of atoms: 9.2

abc: 5.514 7.074 17.585
angles: 90.00 90.00 90.00
Space group Immm (No. 71)
Unique sites:
Pr 0.000 0.000 0.000 (multiplicity 2)
Pr 0.000 0.500 0.110 (multiplicity 4)
Dy 0.000 0.263 0.314 (multiplicity 8)
Mg 0.000 0.000 0.174 (multiplicity 4)
Mg 0.000 0.215 0.500 (multiplicity 4)

=====

# 4
A plane-wave DFT calculation with PBE was carried out for a relaxed structure of MoW2Se.

Summary:
E_form (uncorrected), eV per atom: 0.4689

abc: 2.960 4.251 5.164
angles: 90.00 90.29 90.00
Space group P2/m (No. 10)
Unique sites:
Mo 0.000 0.000 0.000 (multiplicity 1)
W 0.498 0.500 0.244 (multiplicity 2)
Se 0.000 0.000 0.500 (multiplicity 1)

=====

# 5
A plane-wave DFT calculation with PBE was carried out for a relaxed structure of AlCdPt2.

Summary:
Energy of formation, kJ/mol of atoms: -32.6

abc: 6.413 6.413 6.413
angles: 90.00 90.00 90.00
Space group F-43m (No. 216)
Unique sites:
Al 0.000 0.000 0.000 (multiplicity 4)
Cd 0.250 0.250 0.750 (multiplicity 4)
Pt 0.000 0.000 0.500 (multiplicity 4)
Pt 0.250 0.250 0.250 (multiplicity 4)

=====

# 6
A plane-wave DFT calculation with PBE was carried out for a relaxed structure of Pr4AsSe3.

Summary:
E_form (uncorrected), eV per atom: -1.7976

abc: 6.043 6.043 6.043
angles: 90.00 90.00 90.00
Space group Pm-3m (No. 221)
Unique sites:
Pr 0.000 0.000 0.000 (multiplicity 1)
Pr 0.000 0.500 0.500 (multiplicity 3)
As 0.500 0.500 0.500 (multiplicity 1)
Se 0.000 0.000 0.500 (multiplicity 3)

=====

| no. | M_tot (Bohr magnetons per cell) |
| --- | --- |
| 1 | 0.782 |
| 2 | 7.531 |
| 3 | 0.000 |
| 4 | 0.000 |
| 5 | 0.000 |
| 6 | 0.000 |